Rb2CoSF6 after structural relaxation, computed with PBE+U.

Unit cell a=5.744 b=5.744 c=10.485 alpha=90.00 beta=90.00 gamma=90.00
Space group I4/mmm (No. 139)
Symmetry-distinct sites (fractional):
Rb 0.000 0.500 0.250 (multiplicity 4)
Co 0.000 0.000 0.000 (multiplicity 2)
S 0.000 0.000 0.500 (multiplicity 2)
F 0.000 0.000 0.183 (multiplicity 4)
F 0.237 0.237 0.500 (multiplicity 8)

## Properties
As for the density of states at the Fermi level: 13.2 states/eV/f.u. The energy is -4.193 eV/atom.